Density functional theory data (PBE-GGA) for LiPaHgPb after structural relaxation.

## Properties
The density of states at the Fermi level comes out at 4.62 states/eV/f.u. The energy of formation comes out at 0.0 eV per formula unit. As for the symmetry: F-43m (216). The total energy is -0.2842 Ry per atom. The value obtained for the density is 10.82 g/cm3.

Lattice parameters (Å, degrees): 7.3456 7.3456 7.3456 90.00 90.00 90.00
Fractional positions:
Li1 0.0000 0.0000 0.0000
Li2 0.0000 0.5000 0.5000
Li3 0.5000 0.0000 0.5000
Li4 0.5000 0.5000 0.0000
Pa1 0.0000 0.0000 0.5000
Pa2 0.0000 0.5000 0.0000
Pa3 0.5000 0.0000 0.0000
Pa4 0.5000 0.5000 0.5000
Hg1 0.2500 0.2500 0.7500
Hg2 0.2500 0.7500 0.2500
Hg3 0.7500 0.2500 0.2500
Hg4 0.7500 0.7500 0.7500
Pb1 0.2500 0.2500 0.2500
Pb2 0.2500 0.7500 0.7500
Pb3 0.7500 0.2500 0.7500
Pb4 0.7500 0.7500 0.2500


Density functional theory data (PBE-GGA) for LaMnHg2 after structural relaxation.

## Properties
The density of states at the Fermi level comes out at 3.50 states/eV/f.u. The energy of formation comes out at 0.1 eV per formula unit. As for the symmetry: Imm2 (44). The total energy is -0.2689 Ry per atom. The value obtained for the density is 9.69 g/cm3.

Lattice parameters (Å, degrees): 3.5347 4.4111 13.0803 90.00 90.00 90.00
Fractional positions:
La1 0.0000 0.0000 0.0000
La2 0.5000 0.5000 0.5000
Mn1 0.0000 0.5000 0.7031
Mn2 0.5000 0.0000 0.2031
Hg1 0.0000 0.0000 0.3738
Hg2 0.0000 0.5000 0.1985
Hg3 0.5000 0.0000 0.6985
Hg4 0.5000 0.5000 0.8738


Density functional theory data (PBE-GGA) for RhCO2 after structural relaxation.

## Properties
The density of states at the Fermi level comes out at 1.53 states/eV/f.u. As for the symmetry: R-3m (166). The total energy is -0.4292 Ry per atom. The value obtained for the density is 6.95 g/cm3. The formation energy from raw total energies comes out at 3.13 eV/f.u.

Lattice parameters (Å, degrees): 2.6281 2.6281 17.6091 90.00 90.00 120.00
Fractional positions:
Rh1 0.0000 0.0000 0.0000
Rh2 0.3333 0.6667 0.6667
Rh3 0.6667 0.3333 0.3333
C1 0.0000 0.0000 0.5000
C2 0.3333 0.6667 0.1667
C3 0.6667 0.3333 0.8333
O1 0.0000 0.0000 0.1139
O2 0.0000 0.0000 0.8861
O3 0.3333 0.6667 0.5528
O4 0.3333 0.6667 0.7806
O5 0.6667 0.3333 0.2194
O6 0.6667 0.3333 0.4472


> Number 3 is which compound?

RhCO2